Entry 1:
Ti2CoAs2 | Alexandria | PBEsol | relaxed; E = -34.3 eV per formula unit; Fermi-level density of states = 6.8 states/eV/f.u.
1.0
-2.008 2.008 5.324
2.008 -2.008 5.324
2.008 2.008 -5.324
Ti Co As
2 1 2
Cartesian
2.008 0.000 2.662
0.000 2.008 2.662
0.000 0.000 0.000
0.000 0.000 4.143
0.000 0.000 6.506

Entry 2:
Ta2SbAs | Alexandria | PBEsol | relaxed; Fermi-level density of states = 1.4 states/eV/f.u.; E_form (uncorrected) = -0.3 eV/f.u.
1.0
4.642 0.000 0.000
0.000 4.642 0.000
0.000 0.000 3.292
Ta Sb As
2 1 1
Cartesian
0.000 2.321 0.000
2.321 0.000 0.000
0.000 0.000 1.646
2.321 2.321 1.646